8
Lattice="-3.562 3.562 6.890 3.562 -3.562 6.890 3.562 3.562 -6.890" Properties=species:S:1:pos:R:3 comment="RbIn2HgTe4 | the Alexandria database | PBE | optimized geometry" e_form_raw_ev_per_atom=-0.34 pbc="T T T"
Rb 0.000 0.000 0.000
In 3.562 0.000 3.445
In 0.000 3.562 3.445
Hg 0.000 0.000 6.890
Te 1.528 -1.528 4.930
Te 2.034 2.034 1.960
Te -1.528 1.528 4.930
Te 1.528 1.528 8.850